The following is a GGA-PBE calculation of a geometry-optimized Bi5S6Cl3 structure, from Alexandria via LeMat-Bulk.

raw formation energy = -483 meV per atom
ρ = 6045 kg/m3
space group = No. 1

```
data_Bi5S6Cl3
_chemical_formula_sum 'Bi20 S24 Cl12'
_cell_length_a 12.257
_cell_length_b 12.428
_cell_length_c 12.396
_cell_angle_alpha 109.55
_cell_angle_beta 108.76
_cell_angle_gamma 108.81
_space_group_name_H-M_alt 'P 1'
_space_group_IT_number 1
_space_group_name_Hall 'P 1'
loop_
_atom_site_label
_atom_site_type_symbol
_atom_site_fract_x
_atom_site_fract_y
_atom_site_fract_z
Bi1 Bi 0.004 0.910 0.311
Bi2 Bi 0.691 0.944 0.100
Bi3 Bi 0.514 0.938 0.662
Bi4 Bi 0.681 0.790 0.363
Bi5 Bi 0.198 0.611 0.327
Bi6 Bi 0.097 0.696 0.964
Bi7 Bi 0.333 0.475 0.066
Bi8 Bi 0.714 0.725 0.682
Bi9 Bi 0.372 0.634 0.770
Bi10 Bi 0.030 0.339 0.445
Bi11 Bi 0.984 0.670 0.562
Bi12 Bi 0.622 0.332 0.218
Bi13 Bi 0.362 0.359 0.346
Bi14 Bi 0.685 0.590 0.003
Bi15 Bi 0.828 0.270 0.020
Bi16 Bi 0.795 0.391 0.641
Bi17 Bi 0.345 0.261 0.636
Bi18 Bi 0.399 0.957 0.311
Bi19 Bi 0.299 0.992 0.883
Bi20 Bi 0.003 0.137 0.679
S1 S 0.160 0.908 0.159
S2 S 0.310 0.907 0.460
S3 S 0.868 0.019 0.387
S4 S 0.065 0.826 0.825
S5 S 0.323 0.694 0.193
S6 S 0.844 0.838 0.066
S7 S 0.531 0.684 0.052
S8 S 0.285 0.809 0.681
S9 S 0.512 0.728 0.513
S10 S 0.856 0.849 0.595
S11 S 0.593 0.832 0.839
S12 S 0.183 0.383 0.176
S13 S 0.821 0.687 0.280
S14 S 0.034 0.517 0.656
S15 S 0.526 0.522 0.273
S16 S 0.265 0.513 0.508
S17 S 0.729 0.518 0.512
S18 S 0.514 0.511 0.734
S19 S 0.952 0.465 0.322
S20 S 0.193 0.343 0.704
S21 S 0.839 0.597 0.840
S22 S 0.391 0.181 0.174
S23 S 0.189 0.191 0.394
S24 S 0.613 0.136 0.018
Cl1 Cl 0.991 0.574 0.114
Cl2 Cl 0.387 0.877 0.016
Cl3 Cl 0.508 0.239 0.501
Cl4 Cl 0.722 0.217 0.353
Cl5 Cl 0.484 0.353 0.966
Cl6 Cl 0.159 0.168 0.906
Cl7 Cl 0.670 0.277 0.819
Cl8 Cl 0.921 0.149 0.160
Cl9 Cl 0.988 0.353 0.832
Cl10 Cl 0.146 0.015 0.615
Cl11 Cl 0.660 0.033 0.529
Cl12 Cl 0.815 0.068 0.839
```



The following is a GGA-PBE calculation of a geometry-optimized ScTc3Ge structure, from Alexandria via LeMat-Bulk.

offset from the most stable computed form = 0 meV per atom
energy of formation from the pure elements = 0.781 eV/atom
ρ = 7137 kg/m3
D(E_F) = 6.48 states/eV/cell
space group = No. 221

```
data_ScTc3Ge
_chemical_formula_sum 'Sc1 Tc3 Ge1'
_cell_length_a 4.575
_cell_length_b 4.575
_cell_length_c 4.575
_cell_angle_alpha 90.00
_cell_angle_beta 90.00
_cell_angle_gamma 90.00
_space_group_name_H-M_alt 'P 1'
_space_group_IT_number 1
_space_group_name_Hall 'P 1'
loop_
_atom_site_label
_atom_site_type_symbol
_atom_site_fract_x
_atom_site_fract_y
_atom_site_fract_z
Sc1 Sc 0.500 0.500 0.500
Ge1 Ge 0.000 0.000 0.000
Tc1 Tc 0.000 0.500 0.000
Tc2 Tc 0.000 0.000 0.500
Tc3 Tc 0.500 0.000 0.000
```



The following is a GGA-PBE calculation of a geometry-optimized Y2SnB structure, from Alexandria via LeMat-Bulk.

offset from the most stable computed form = 0 meV per atom
energy of formation from the pure elements = -0.023 eV/atom
ρ = 5264 kg/m3
D(E_F) = 5.69 states/eV/cell
space group = No. 122

```
data_Y2SnB
_chemical_formula_sum 'Y4 Sn2 B2'
_cell_length_a 7.569
_cell_length_b 7.569
_cell_length_c 6.333
_cell_angle_alpha 53.30
_cell_angle_beta 53.30
_cell_angle_gamma 90.00
_space_group_name_H-M_alt 'P 1'
_space_group_IT_number 1
_space_group_name_Hall 'P 1'
loop_
_atom_site_label
_atom_site_type_symbol
_atom_site_fract_x
_atom_site_fract_y
_atom_site_fract_z
Y1 Y 0.562 0.125 0.250
Y2 Y 0.188 0.625 0.250
Y3 Y 0.375 0.438 0.750
Y4 Y 0.875 0.812 0.750
B1 B 0.500 0.500 0.000
B2 B 0.250 0.750 0.500
Sn1 Sn 0.000 0.000 0.000
Sn2 Sn 0.750 0.250 0.500
```